Entry 1:
The following is a PBE-GGA calculation of CsP2AuS8 after structural relaxation, from Alexandria via LeMat-Bulk.

Calculated values
Energy = -4.1501 eV per atom
Symmetry = No. 147
V = 26.33 Å³/atom
Crystal system = trigonal
Energy relative to the elements, uncorrected = -153 meV/atom

Structure (POSCAR):
```
CsP2AuS8
1.0
-2.823 4.050 3.326
-3.042 -3.250 -3.952
-1.744 -7.138 7.212
S P Au Cs
8 2 1 1
Direct
0.996 0.326 0.652 S
0.674 0.670 0.652 S
0.670 0.996 0.348 S
0.004 0.674 0.348 S
0.326 0.330 0.348 S
0.330 0.004 0.652 S
0.667 0.333 0.104 S
0.333 0.667 0.896 S
0.667 0.333 0.298 P
0.333 0.667 0.702 P
0.000 0.000 0.500 Au
0.000 0.000 0.000 Cs
```

---

Entry 2:
The following is a PBE-GGA calculation of Cs2PAuS4 after structural relaxation, from Alexandria via LeMat-Bulk.

Calculated values
Energy = -4.0241 eV per atom
Symmetry = No. 70
V = 32.87 Å³/atom
Crystal system = orthorhombic
Distance to the lowest polymorph of the same formula = 144 meV per atom
Energy relative to the elements, uncorrected = -661 meV/atom

Structure (POSCAR):
```
Cs2PAuS4
1.0
6.474 0.000 0.000
3.237 6.685 0.000
3.237 0.000 12.152
S Cs Au P
8 4 2 2
Direct
0.349 0.823 0.096 S
0.555 0.177 0.096 S
0.195 0.323 0.404 S
0.269 0.177 0.904 S
0.827 0.823 0.904 S
0.923 0.677 0.596 S
0.481 0.323 0.596 S
0.401 0.677 0.404 S
0.823 0.000 0.354 Cs
0.573 0.500 0.854 Cs
0.927 0.500 0.146 Cs
0.177 0.000 0.646 Cs
0.750 0.500 0.500 Au
0.000 0.000 0.000 Au
0.500 0.000 0.000 P
0.250 0.500 0.500 P
```

---

Entry 3:
The following is a PBE-GGA calculation of CsPAu2S4 after structural relaxation, from Alexandria via LeMat-Bulk.

Calculated values
Energy = -4.1301 eV per atom
Symmetry = No. 23
V = 29.59 Å³/atom
Crystal system = orthorhombic
Energy relative to the elements, uncorrected = -464 meV/atom

Structure (POSCAR):
```
CsPAu2S4
1.0
-0.006 -6.124 0.568
1.284 -2.502 6.337
-6.164 -2.981 1.090
S Au Cs P
4 2 1 1
Direct
0.668 0.515 0.785 S
0.968 0.485 0.215 S
0.032 0.785 0.515 S
0.332 0.215 0.485 S
0.500 0.339 0.661 Au
0.500 0.661 0.339 Au
0.000 0.000 0.000 Cs
0.000 0.500 0.500 P
```

---

Entry 4:
The following is a PBE-GGA calculation of Cs2PAuS4 after structural relaxation, from Alexandria via LeMat-Bulk.

Calculated values
Energy = -4.1679 eV per atom
Symmetry = No. 57
V = 33.50 Å³/atom
Crystal system = orthorhombic
Distance to the lowest polymorph of the same formula = 0 meV per atom
Energy relative to the elements, uncorrected = -805 meV/atom

Structure (POSCAR):
```
Cs2PAuS4
1.0
7.201 0.000 0.000
0.000 7.257 0.000
0.000 0.000 20.514
S Cs Au P
16 8 4 4
Direct
0.707 0.250 0.015 S
0.127 0.488 0.637 S
0.127 0.012 0.637 S
0.293 0.250 0.515 S
0.293 0.750 0.985 S
0.873 0.488 0.137 S
0.469 0.250 0.159 S
0.469 0.750 0.341 S
0.873 0.012 0.137 S
0.531 0.250 0.659 S
0.531 0.750 0.841 S
0.127 0.512 0.863 S
0.127 0.988 0.863 S
0.873 0.512 0.363 S
0.873 0.988 0.363 S
0.707 0.750 0.485 S
0.577 0.750 0.667 Cs
0.794 0.250 0.516 Cs
0.423 0.750 0.167 Cs
0.206 0.750 0.484 Cs
0.423 0.250 0.333 Cs
0.794 0.750 0.984 Cs
0.206 0.250 0.016 Cs
0.577 0.250 0.833 Cs
0.125 0.500 0.750 Au
0.875 0.000 0.250 Au
0.125 0.000 0.750 Au
0.875 0.500 0.250 Au
0.282 0.750 0.887 P
0.718 0.750 0.387 P
0.282 0.250 0.613 P
0.718 0.250 0.113 P
```